Entry 1:
Entry from Alexandria: crystalline Ho5TeRu2 at its relaxed geometry (PBE-GGA).

Lattice parameters (Å, degrees): 7.727 7.727 8.653 116.52 116.52 90.00
Atoms (fractional coordinates):
Ho: 0.787 0.979 0.266
Ho: 0.000 0.000 0.000
Ho: 0.979 0.479 0.266
Ho: 0.500 0.500 0.000
Ho: 0.287 0.787 0.266
Ho: 0.479 0.287 0.266
Ho: 0.713 0.213 0.734
Ho: 0.213 0.021 0.734
Ho: 0.521 0.713 0.734
Ho: 0.021 0.521 0.734
Ru: 0.642 0.142 0.000
Ru: 0.358 0.858 0.000
Ru: 0.858 0.642 0.000
Ru: 0.142 0.358 0.000
Te: 0.250 0.250 0.500
Te: 0.750 0.750 0.500

## Properties
final energy	-0.2268	Ha/atom
crystal system	tetragonal

Entry 2:
Entry from Alexandria: crystalline Ho2TeRu at its relaxed geometry (PBE-GGA).

Lattice parameters (Å, degrees): 3.554 3.554 7.414 90.00 90.00 90.00
Atoms (fractional coordinates):
Ru: 0.500 0.500 0.000
Te: 0.500 0.500 0.500
Ho: 0.000 0.000 0.779
Ho: 0.000 0.000 0.221

## Properties
final energy	-0.2247	Ha/atom
crystal system	tetragonal

Entry 3:
Entry from Alexandria: crystalline HoThTeRu at its relaxed geometry (PBE-GGA).

Lattice parameters (Å, degrees): 4.146 4.145 7.788 90.00 105.49 119.99
Atoms (fractional coordinates):
Th: 0.099 0.948 0.062
Ru: 0.305 0.550 0.871
Te: 0.977 0.386 0.379
Ho: 0.497 0.146 0.658

## Properties
final energy	-0.2539	Ha/atom
crystal system	trigonal

The calculation returns the following ΔE_f (raw) values, one per record and in order: -0.5993 -0.7203 -0.8050 eV per atom.
The calculation returns the following density of states at the Fermi level values, one per record and in order: 12.44 0.86 2.95 states/eV/cell.